No. 1
A plane-wave DFT calculation with GGA-PBE was carried out for a geometry-optimized Li5Mg5Cu2 structure.

```
Li5Mg5Cu2
1.0
4.513 0.000 1.110
2.029 4.912 1.480
-0.015 0.097 9.794
Mg Li Cu
5 5 2
Cartesian
1.097 1.015 5.272
2.649 3.612 8.691
3.878 1.397 3.693
5.430 3.994 7.112
0.000 0.000 0.000
3.263 2.505 6.192
2.116 1.754 1.127
2.766 0.647 8.212
3.760 4.362 4.172
4.411 3.255 11.257
4.985 2.003 8.922
1.542 3.007 3.462
```

Computed properties:
Its uncorrected energy is -26.27 eV per cell. The value obtained for the formation energy is -0.04 eV per atom. As for the space group: C2/m (12). The calculation puts the magnetic moment at 0.0 μB/f.u.

No. 2
A plane-wave DFT calculation with GGA-PBE was carried out for a geometry-optimized MoOsRh structure.

```
MoOsRh
1.0
2.745 0.000 0.000
-1.373 2.378 0.000
0.000 0.000 6.798
Os Rh Mo
1 1 1
Cartesian
1.373 0.793 2.236
0.000 1.585 4.543
0.000 0.000 0.019
```

Computed properties:
Its uncorrected energy is -29.28 eV per cell. The value obtained for the formation energy is 0.05 eV per atom. As for the space group: P3m1 (156). The calculation puts the magnetic moment at 0.0 μB/f.u.